<w>
Entry from Alexandria via LeMat-Bulk: a relaxed Pr6SmHo12 crystal (PBE).

```
Pr6SmHo12
1.0
5.567 3.214 5.862
-5.567 3.214 5.862
0.000 -6.429 5.862
Pr Sm Ho
6 1 12
Direct
0.268 0.268 0.664 Pr
0.268 0.664 0.268 Pr
0.336 0.732 0.732 Pr
0.664 0.268 0.268 Pr
0.732 0.336 0.732 Pr
0.732 0.732 0.336 Pr
0.500 0.500 0.500 Sm
0.014 0.014 0.696 Ho
0.014 0.696 0.014 Ho
0.017 0.362 0.362 Ho
0.304 0.986 0.986 Ho
0.362 0.017 0.362 Ho
0.362 0.362 0.017 Ho
0.638 0.638 0.983 Ho
0.638 0.983 0.638 Ho
0.696 0.014 0.014 Ho
0.983 0.638 0.638 Ho
0.986 0.304 0.986 Ho
0.986 0.986 0.304 Ho
```

Summary:
* total moment: 0.0 μB/cell
* space-group type: R-3m

<x>
Entry from Alexandria via LeMat-Bulk: a relaxed Pr6SmHo12 crystal (PBE).

```
Pr6SmHo12
1.0
6.651 3.840 4.229
-6.651 3.840 4.229
0.000 -7.680 4.229
Pr Sm Ho
6 1 12
Direct
0.155 0.598 0.598 Pr
0.402 0.402 0.845 Pr
0.402 0.845 0.402 Pr
0.598 0.155 0.598 Pr
0.598 0.598 0.155 Pr
0.845 0.402 0.402 Pr
0.500 0.500 0.500 Sm
0.000 0.256 0.744 Ho
0.000 0.744 0.256 Ho
0.144 0.144 0.419 Ho
0.144 0.419 0.144 Ho
0.256 0.000 0.744 Ho
0.256 0.744 0.000 Ho
0.419 0.144 0.144 Ho
0.581 0.856 0.856 Ho
0.744 0.000 0.256 Ho
0.744 0.256 0.000 Ho
0.856 0.581 0.856 Ho
0.856 0.856 0.581 Ho
```

Summary:
* total moment: 0.0 μB/cell
* space-group type: R-3m

Which of them is the most stable, and which is the least stable? <w> and <x>, in that order.

<w>
Entry from Alexandria via LeMat-Bulk: a relaxed PrSm4Ho2 crystal (PBE).

```
PrSm4Ho2
1.0
6.242 0.000 0.000
1.042 8.002 0.000
2.055 0.543 9.325
Pr Sm Ho
2 8 4
Direct
0.000 0.000 0.000 Pr
0.428 0.145 0.146 Pr
0.070 0.857 0.360 Sm
0.213 0.574 0.073 Sm
0.287 0.431 0.430 Sm
0.361 0.290 0.785 Sm
0.501 0.000 0.501 Sm
0.574 0.856 0.856 Sm
0.788 0.432 0.929 Sm
0.931 0.145 0.642 Sm
0.145 0.714 0.713 Ho
0.641 0.713 0.217 Ho
0.716 0.574 0.571 Ho
0.856 0.291 0.289 Ho
```

Summary:
* total moment: 0.0 μB/cell
* space-group type: P1

<x>
Entry from Alexandria via LeMat-Bulk: a relaxed PrSm4Ho2 crystal (PBE).

```
PrSm4Ho2
1.0
6.186 0.000 0.000
0.000 6.642 0.000
-2.880 0.000 11.331
Pr Sm Ho
2 8 4
Direct
0.023 0.250 0.353 Pr
0.977 0.750 0.647 Pr
0.152 0.250 0.655 Sm
0.292 0.750 0.935 Sm
0.358 0.505 0.212 Sm
0.358 0.995 0.212 Sm
0.642 0.005 0.788 Sm
0.642 0.495 0.788 Sm
0.708 0.250 0.065 Sm
0.848 0.750 0.345 Sm
0.147 0.250 0.943 Ho
0.400 0.750 0.501 Ho
0.600 0.250 0.499 Ho
0.853 0.750 0.057 Ho
```

Summary:
* total moment: 0.0 μB/cell
* space-group type: P2_1/m

Which of them is the most stable, and which is the least stable? <w> and <x>, in that order.

<w>
Entry from Alexandria via LeMat-Bulk: a relaxed Pr3Sm7Ho crystal (PBE).

```
Pr3Sm7Ho
1.0
7.205 0.000 0.000
-3.603 6.240 0.000
0.000 0.000 8.810
Pr Sm Ho
3 7 1
Direct
0.001 0.500 0.000 Pr
0.500 0.500 0.000 Pr
0.500 0.999 0.000 Pr
0.167 0.335 0.664 Sm
0.167 0.833 0.664 Sm
0.334 0.167 0.334 Sm
0.665 0.833 0.664 Sm
0.667 0.333 0.659 Sm
0.833 0.167 0.334 Sm
0.833 0.666 0.334 Sm
0.333 0.667 0.340 Ho
```

Summary:
* total moment: 0.0 μB/cell
* space-group type: P3m1

<x>
Entry from Alexandria via LeMat-Bulk: a relaxed Pr3Sm7Ho crystal (PBE).

```
Pr3Sm7Ho
1.0
5.899 -5.123 0.000
5.899 5.123 0.000
-0.512 0.000 6.478
Pr Sm Ho
3 7 1
Direct
0.000 0.000 0.000 Pr
0.174 0.826 0.500 Pr
0.826 0.174 0.500 Pr
0.088 0.429 0.238 Sm
0.241 0.241 0.714 Sm
0.429 0.088 0.238 Sm
0.500 0.500 0.500 Sm
0.571 0.912 0.762 Sm
0.759 0.759 0.286 Sm
0.912 0.571 0.762 Sm
0.500 0.500 0.000 Ho
```

Summary:
* total moment: 0.0 μB/cell
* space-group type: C2/m

Which of them is the most stable, and which is the least stable? <w> and <x>, in that order.

<w>
Entry from Alexandria via LeMat-Bulk: a relaxed Pr2HoSn crystal (PBE).

```
Pr2HoSn
1.0
0.000 3.931 3.931
3.931 0.000 3.931
3.931 3.931 0.000
Pr Ho Sn
2 1 1
Direct
0.250 0.250 0.250 Pr
0.750 0.750 0.750 Pr
0.000 0.000 0.000 Ho
0.500 0.500 0.500 Sn
```

Summary:
* total moment: 0.0 μB/cell
* space-group type: Fm-3m

<x>
Entry from Alexandria via LeMat-Bulk: a relaxed Pr2HoSn crystal (PBE).

```
Pr2HoSn
1.0
1.737 -13.747 0.000
1.737 13.747 0.000
0.000 0.000 5.690
Pr Ho Sn
4 2 2
Direct
0.094 0.906 0.750 Pr
0.188 0.812 0.250 Pr
0.812 0.188 0.750 Pr
0.906 0.094 0.250 Pr
0.028 0.972 0.250 Ho
0.972 0.028 0.750 Ho
0.305 0.695 0.250 Sn
0.695 0.305 0.750 Sn
```

Summary:
* total moment: 0.0 μB/cell
* space-group type: Cmcm

Which of them is the most stable, and which is the least stable? <w> and <x>, in that order.

<w>
Entry from Alexandria via LeMat-Bulk: a relaxed SrPrHo2 crystal (PBE).

```
SrPrHo2
1.0
3.726 0.000 0.000
0.000 3.726 0.000
0.000 0.000 10.620
Sr Pr Ho
1 1 2
Direct
0.000 0.000 0.000 Sr
0.000 0.000 0.500 Pr
0.500 0.500 0.275 Ho
0.500 0.500 0.725 Ho
```

Summary:
* total moment: 0.0 μB/cell
* space-group type: P4/mmm

<x>
Entry from Alexandria via LeMat-Bulk: a relaxed SrPrHo2 crystal (PBE).

```
SrPrHo2
1.0
1.821 1.051 12.850
-1.821 1.051 12.850
0.000 -2.102 12.850
Sr Pr Ho
1 1 2
Direct
0.000 0.000 0.000 Sr
0.500 0.500 0.500 Pr
0.092 0.092 0.092 Ho
0.908 0.908 0.908 Ho
```

Summary:
* total moment: 0.0 μB/cell
* space-group type: R-3m

Which of them is the most stable, and which is the least stable? <w> and <x>, in that order.

<w>
Entry from Alexandria via LeMat-Bulk: a relaxed SrPrHo crystal (PBE).

```
SrPrHo
1.0
-1.893 1.893 8.118
1.893 -1.893 8.118
1.893 1.893 -8.118
Sr Pr Ho
1 1 1
Direct
0.000 0.000 0.000 Sr
0.683 0.683 0.000 Pr
0.323 0.323 0.000 Ho
```

Summary:
* total moment: 0.0 μB/cell
* space-group type: I4mm

<x>
Entry from Alexandria via LeMat-Bulk: a relaxed SrPrHo crystal (PBE).

```
SrPrHo
1.0
3.776 0.000 0.000
-1.888 3.270 0.000
0.000 0.000 9.391
Sr Pr Ho
1 1 1
Direct
0.000 0.000 0.000 Sr
0.667 0.333 0.361 Pr
0.333 0.667 0.655 Ho
```

Summary:
* total moment: 0.0 μB/cell
* space-group type: P3m1

Which of them is the most stable, and which is the least stable? <w> and <x>, in that order.

<w>
Entry from Alexandria via LeMat-Bulk: a relaxed Tb4Pr3Ho4 crystal (PBE).

```
Tb4Pr3Ho4
1.0
3.593 0.000 0.000
0.000 5.062 0.000
1.773 2.523 19.760
Tb Pr Ho
4 3 4
Direct
0.046 0.047 0.408 Tb
0.318 0.317 0.867 Tb
0.682 0.683 0.133 Tb
0.954 0.953 0.592 Tb
0.136 0.138 0.226 Pr
0.500 0.500 0.500 Pr
0.864 0.862 0.774 Pr
0.229 0.228 0.044 Ho
0.408 0.407 0.682 Ho
0.592 0.593 0.318 Ho
0.771 0.772 0.956 Ho
```

Summary:
* total moment: 0.0 μB/cell
* space-group type: P-1

<x>
Entry from Alexandria via LeMat-Bulk: a relaxed Tb4Pr3Ho4 crystal (PBE).

```
Tb4Pr3Ho4
1.0
10.670 0.000 0.000
0.000 2.866 6.032
0.000 -2.866 6.032
Tb Pr Ho
4 3 4
Direct
0.000 0.000 0.000 Tb
0.215 0.794 0.794 Tb
0.500 0.932 0.932 Tb
0.785 0.794 0.794 Tb
0.000 0.298 0.298 Pr
0.292 0.450 0.450 Pr
0.708 0.450 0.450 Pr
0.000 0.599 0.599 Ho
0.297 0.146 0.146 Ho
0.500 0.659 0.659 Ho
0.703 0.146 0.146 Ho
```

Summary:
* total moment: 0.0 μB/cell
* space-group type: Amm2

Which of them is the most stable, and which is the least stable? <w> and <x>, in that order.

<w>
Entry from Alexandria via LeMat-Bulk: a relaxed Tb2Pr3Ho2 crystal (PBE).

```
Tb2Pr3Ho2
1.0
3.572 0.000 0.000
1.786 8.457 0.000
0.004 4.230 7.764
Tb Pr Ho
2 3 2
Direct
0.071 0.360 0.431 Tb
0.929 0.640 0.569 Tb
0.000 0.500 0.000 Pr
0.294 0.912 0.712 Pr
0.706 0.088 0.288 Pr
0.362 0.777 0.167 Ho
0.638 0.223 0.833 Ho
```

Summary:
* total moment: 0.0 μB/cell
* space-group type: P-1

<x>
Entry from Alexandria via LeMat-Bulk: a relaxed Tb2Pr3Ho2 crystal (PBE).

```
Tb2Pr3Ho2
1.0
8.837 -1.768 0.000
8.837 1.768 0.000
-4.136 0.000 7.579
Tb Pr Ho
2 3 2
Direct
0.143 0.143 0.321 Tb
0.857 0.857 0.679 Tb
0.000 0.000 0.500 Pr
0.214 0.214 0.800 Pr
0.786 0.786 0.200 Pr
0.436 0.436 0.091 Ho
0.564 0.564 0.909 Ho
```

Summary:
* total moment: 0.0 μB/cell
* space-group type: C2/m

Which of them is the most stable, and which is the least stable? <w> and <x>, in that order.